Compound: KSb2Se2
Source: the Alexandria database
Functional: PBE-GGA
Structure: optimized geometry

* energy above the lowest structure with this stoichiometry: 38 meV/atom
* uncorrected formation energy: -256.3 meV/atom

a = 9.077 Å, b = 9.077 Å, c = 3.890 Å
α = 90.00°, β = 90.00°, γ = 90.00°
Space group P4/mbm (No. 127)
Inequivalent atoms, fractional coordinates:
K 0.000 0.000 0.000 [2 per cell]
Sb 0.182 0.318 0.500 [4 per cell]
Se 0.176 0.676 0.000 [4 per cell]



Compound: ZnCrPb2
Source: the Alexandria database
Functional: PBE-GGA
Structure: optimized geometry

* E_form: 399 meV/atom

a = 7.042 Å, b = 7.116 Å, c = 3.708 Å
α = 90.00°, β = 90.00°, γ = 90.00°
Space group Cmmm (No. 65)
Inequivalent atoms, fractional coordinates:
Zn 0.000 0.000 0.000 [2 per cell]
Cr 0.000 0.500 0.000 [2 per cell]
Pb 0.250 0.250 0.500 [4 per cell]



Compound: CuTcSn2
Source: the Alexandria database
Functional: PBE-GGA
Structure: optimized geometry

* E_form: 595 meV/atom
* energy above the lowest structure with this stoichiometry: 465 meV/atom

a = 7.320 Å, b = 7.320 Å, c = 5.937 Å
α = 90.00°, β = 90.00°, γ = 90.00°
Space group I-42d (No. 122)
Inequivalent atoms, fractional coordinates:
Cu 0.000 0.000 0.000 [4 per cell]
Tc 0.000 0.000 0.500 [4 per cell]
Sn 0.231 0.250 0.125 [8 per cell]



Compound: Ac12Si6Sn
Source: the Alexandria database
Functional: PBE-GGA
Structure: optimized geometry

* uncorrected formation energy: -465.1 meV/atom

a = 10.945 Å, b = 10.945 Å, c = 10.945 Å
α = 90.00°, β = 90.00°, γ = 90.00°
Space group Im-3 (No. 204)
Inequivalent atoms, fractional coordinates:
Ac 0.000 0.299 0.189 [24 per cell]
Si 0.000 0.109 0.500 [12 per cell]
Sn 0.000 0.000 0.000 [2 per cell]



Compound: KBaLi2
Source: the Alexandria database
Functional: PBE-GGA
Structure: optimized geometry

* E_form: 135 meV/atom
* energy above the lowest structure with this stoichiometry: 34 meV/atom

a = 9.107 Å, b = 9.122 Å, c = 4.253 Å
α = 90.00°, β = 90.00°, γ = 90.00°
Space group Cmmm (No. 65)
Inequivalent atoms, fractional coordinates:
K 0.000 0.000 0.000 [2 per cell]
Ba 0.000 0.500 0.000 [2 per cell]
Li 0.250 0.250 0.500 [4 per cell]



Compound: HgSO2F
Source: the Alexandria database
Functional: PBE-GGA
Structure: optimized geometry

* uncorrected formation energy: -245.6 meV/atom

a = 3.524 Å, b = 3.524 Å, c = 6.430 Å
α = 90.00°, β = 90.00°, γ = 90.00°
Space group P4/mmm (No. 123)
Inequivalent atoms, fractional coordinates:
Hg 0.000 0.000 0.000 [1 per cell]
S 0.500 0.500 0.500 [1 per cell]
O 0.000 0.500 0.500 [2 per cell]
F 0.500 0.500 0.000 [1 per cell]



Compound: Pr2Y5Sc2
Source: the Alexandria database
Functional: PBE-GGA
Structure: optimized geometry

* E_form: 46 meV/atom
* energy above the lowest structure with this stoichiometry: 0 meV/atom

a = 14.972 Å, b = 4.973 Å, c = 7.952 Å
α = 90.00°, β = 108.23°, γ = 90.00°
Space group C2/m (No. 12)
Inequivalent atoms, fractional coordinates:
Pr 0.107 0.000 0.164 [4 per cell]
Y 0.000 0.000 0.500 [2 per cell]
Y 0.165 0.500 0.503 [4 per cell]
Y 0.219 0.000 0.835 [4 per cell]
Sc 0.056 0.500 0.837 [4 per cell]



Compound: MgCoRe
Source: the Alexandria database
Functional: PBE-GGA
Structure: optimized geometry

* E_form: 167 meV/atom
* energy above the lowest structure with this stoichiometry: 104 meV/atom

a = 10.191 Å, b = 3.112 Å, c = 5.693 Å
α = 90.00°, β = 106.39°, γ = 90.00°
Space group C2/m (No. 12)
Inequivalent atoms, fractional coordinates:
Mg 0.004 0.000 0.239 [4 per cell]
Co 0.185 0.500 0.087 [4 per cell]
Re 0.186 0.500 0.604 [4 per cell]



Compound: Hg4Br3Cl4
Source: the Alexandria database
Functional: PBE-GGA
Structure: optimized geometry

* uncorrected formation energy: -423.2 meV/atom

a = 7.375 Å, b = 7.572 Å, c = 7.760 Å
α = 97.71°, β = 91.39°, γ = 104.68°
Space group P-1 (No. 2)
Inequivalent atoms, fractional coordinates:
Hg 0.051 0.262 0.143 [2 per cell]
Hg 0.372 0.258 0.682 [2 per cell]
Br 0.253 0.967 0.975 [2 per cell]
Br 0.500 0.000 0.500 [1 per cell]
Cl 0.192 0.446 0.865 [2 per cell]
Cl 0.286 0.435 0.365 [2 per cell]



Compound: Er2ScRh3
Source: the Alexandria database
Functional: PBE-GGA
Structure: optimized geometry

* E_form: -950 meV/atom

a = 4.711 Å, b = 14.120 Å, c = 3.367 Å
α = 90.00°, β = 90.00°, γ = 90.00°
Space group Cmmm (No. 65)
Inequivalent atoms, fractional coordinates:
Er 0.000 0.165 0.000 [4 per cell]
Sc 0.000 0.500 0.000 [2 per cell]
Rh 0.000 0.000 0.500 [2 per cell]
Rh 0.000 0.339 0.500 [4 per cell]



no.,total magnetic moment (Bohr magnetons per cell)
1,0.00
2,8.26
3,7.65
4,0.00
5,0.00
6,0.00
7,0.00
8,0.03
9,0.00
10,0.00